{"formula": "PmDyMgNi", "functional": "PBE", "state": "optimized geometry", "lattice": [[7.2358, 0.0000, 0.0000], [0.0000, 7.2358, 0.0000], [0.0000, 0.0000, 7.2358]], "species": ["Pm", "Pm", "Pm", "Pm", "Dy", "Dy", "Dy", "Dy", "Mg", "Mg", "Mg", "Mg", "Ni", "Ni", "Ni", "Ni"], "frac_coords": [[0.0000, 0.0000, 0.0000], [0.0000, 0.5000, 0.5000], [0.5000, 0.0000, 0.5000], [0.5000, 0.5000, 0.0000], [0.0000, 0.0000, 0.5000], [0.0000, 0.5000, 0.0000], [0.5000, 0.0000, 0.0000], [0.5000, 0.5000, 0.5000], [0.2500, 0.2500, 0.7500], [0.2500, 0.7500, 0.2500], [0.7500, 0.2500, 0.2500], [0.7500, 0.7500, 0.7500], [0.2500, 0.2500, 0.2500], [0.2500, 0.7500, 0.7500], [0.7500, 0.2500, 0.7500], [0.7500, 0.7500, 0.2500]], "formation_energy_ev_per_atom": -0.082, "space_group": "F-43m, No. 216", "crystal_system": "cubic"}